The following is a DFT calculation (PBE-GGA) of a geometry-optimized AlInIr structure.

## Properties
- DFT formation energy: -305 meV/atom
- SG: Imm2 (44)
- Raw total energy: -16.26 eV per cell

POSCAR file:
```
AlInIr
1.0
-4.5771 -2.0546 -0.9297
-1.3613 -2.0334 -4.4774
3.4446 -0.0493 3.7639
Al Ir In
1 1 1
Cartesian
-0.1542 -0.1061 -0.1404
-3.8208 -2.6303 -3.4790
-1.9633 -1.3515 -1.7877
```

The following is a DFT calculation (PBE-GGA) of a geometry-optimized Tb3Ho2Al2 structure.

## Properties
- DFT formation energy: -215 meV/atom
- SG: I4/mmm (139)
- Energy relative to the lowest polymorph listed for this composition: 0 meV/atom
- Raw total energy: -32.03 eV per cell

POSCAR file:
```
Tb3Ho2Al2
1.0
3.5070 0.0003 0.4651
0.0240 3.5329 -0.1787
-0.2579 -0.9885 15.3778
Ho Tb Al
2 3 2
Cartesian
0.9251 2.0939 6.4684
2.3480 0.4508 9.1958
0.2678 2.3488 11.4259
0.0000 0.0000 0.0000
3.0053 0.1958 4.2383
1.5137 1.8644 2.0417
1.7594 0.6803 13.6225
```